(1)
{"formula": "SrZnSb2Te", "functional": "PBE", "state": "relaxed", "lattice": [[6.1529, 0.0000, 0.0000], [0.0000, 6.1529, 0.0000], [0.0000, 0.0000, 6.0552]], "species": ["Sr", "Zn", "Sb", "Sb", "Te"], "frac_coords": [[0.0000, 0.0000, 0.0000], [0.5000, 0.5000, 0.5000], [0.0000, 0.5000, 0.0000], [0.5000, 0.0000, 0.0000], [0.0000, 0.0000, 0.5000]], "total_magnetization_mub_per_cell": 0.001, "formation_energy_uncorrected_ev_per_atom": 0.671}

---

(2)
{"formula": "Dy2ZrNi", "functional": "PBE", "state": "relaxed", "lattice": [[3.4094, 0.0000, 0.0000], [0.0000, 3.4094, 0.0000], [0.0000, 0.0000, 7.9341]], "species": ["Dy", "Dy", "Zr", "Ni"], "frac_coords": [[0.0000, 0.0000, 0.2076], [0.0000, 0.0000, 0.7924], [0.5000, 0.5000, 0.5000], [0.5000, 0.5000, 0.0000]], "total_magnetization_mub_per_cell": 0.000, "formation_energy_ev_per_atom": -0.1255}

---

(3)
{"formula": "La2Dy2YHo2", "functional": "PBE", "state": "relaxed", "lattice": [[11.4162, 0.0000, 0.0000], [0.0000, 5.0956, 0.0000], [-1.1703, 0.0000, 7.9649]], "species": ["La", "La", "La", "La", "Dy", "Dy", "Dy", "Dy", "Y", "Y", "Ho", "Ho", "Ho", "Ho"], "frac_coords": [[0.1424, 0.0000, 0.4268], [0.3576, 0.5000, 0.5732], [0.6424, 0.5000, 0.4268], [0.8576, 0.0000, 0.5732], [0.0710, 0.5000, 0.7191], [0.4290, 0.0000, 0.2809], [0.5710, 0.0000, 0.7191], [0.9290, 0.5000, 0.2809], [0.0000, 0.0000, 0.0000], [0.5000, 0.5000, 0.0000], [0.2156, 0.5000, 0.1383], [0.2844, 0.0000, 0.8617], [0.7156, 0.0000, 0.1383], [0.7844, 0.5000, 0.8617]], "total_magnetization_mub_per_cell": 0.000, "formation_energy_ev_per_atom": 0.0321}

---

(4)
{"formula": "YIrSe2", "functional": "PBE", "state": "relaxed", "lattice": [[4.6419, 0.0000, 0.0000], [0.0000, 4.6419, 0.0000], [0.0000, 0.0000, 3.4872]], "species": ["Y", "Ir", "Se", "Se"], "frac_coords": [[0.0000, 0.0000, 0.0000], [0.5000, 0.5000, 0.0000], [0.0000, 0.5000, 0.5000], [0.5000, 0.0000, 0.5000]], "total_magnetization_mub_per_cell": 0.000, "formation_energy_uncorrected_ev_per_atom": -0.674}

---

(5)
{"formula": "CsTmCuTe2", "functional": "PBE", "state": "relaxed", "lattice": [[8.9441, 0.0000, 0.0000], [0.0000, 4.3934, 0.0000], [-0.0462, 0.0000, 8.8833]], "species": ["Cs", "Cs", "Tm", "Tm", "Cu", "Cu", "Te", "Te", "Te", "Te"], "frac_coords": [[0.0000, 0.0075, 0.2500], [0.0000, 0.9925, 0.7500], [0.5000, 0.5004, 0.2500], [0.5000, 0.4996, 0.7500], [0.5000, 0.0000, 0.0000], [0.5000, 0.0000, 0.5000], [0.2793, 0.3955, 0.9989], [0.2793, 0.6045, 0.4989], [0.7207, 0.3955, 0.5011], [0.7207, 0.6045, 0.0011]], "total_magnetization_mub_per_cell": 0.000, "formation_energy_uncorrected_ev_per_atom": -0.745}

---

(6)
{"formula": "LiTiSb2Te", "functional": "PBE", "state": "relaxed", "lattice": [[5.2979, 0.0000, 0.0000], [0.0000, 5.2979, 0.0000], [0.0000, 0.0000, 5.4129]], "species": ["Li", "Ti", "Sb", "Sb", "Te"], "frac_coords": [[0.0000, 0.0000, 0.0000], [0.5000, 0.5000, 0.5000], [0.0000, 0.5000, 0.5000], [0.5000, 0.0000, 0.5000], [0.5000, 0.5000, 0.0000]], "total_magnetization_mub_per_cell": 0.000, "formation_energy_uncorrected_ev_per_atom": -0.071}

---

(7)
{"formula": "Nd3SiPd2", "functional": "PBE", "state": "relaxed", "lattice": [[12.0172, 0.0000, 0.0000], [0.0000, 4.1857, 0.0000], [0.0000, 0.0000, 12.0772]], "species": ["Nd", "Nd", "Nd", "Nd", "Nd", "Nd", "Nd", "Nd", "Nd", "Nd", "Nd", "Nd", "Si", "Si", "Si", "Si", "Pd", "Pd", "Pd", "Pd", "Pd", "Pd", "Pd", "Pd"], "frac_coords": [[0.0630, 0.2500, 0.1215], [0.1191, 0.7500, 0.5552], [0.1998, 0.2500, 0.8070], [0.3002, 0.7500, 0.3070], [0.3809, 0.2500, 0.0552], [0.4370, 0.7500, 0.6215], [0.5630, 0.2500, 0.3785], [0.6191, 0.7500, 0.9448], [0.6998, 0.2500, 0.6930], [0.8002, 0.7500, 0.1930], [0.8809, 0.2500, 0.4448], [0.9370, 0.7500, 0.8785], [0.1222, 0.2500, 0.3671], [0.3778, 0.7500, 0.8671], [0.6222, 0.2500, 0.1329], [0.8778, 0.7500, 0.6329], [0.0257, 0.7500, 0.3099], [0.1872, 0.7500, 0.9838], [0.3128, 0.2500, 0.4838], [0.4743, 0.2500, 0.8099], [0.5257, 0.7500, 0.1901], [0.6872, 0.7500, 0.5162], [0.8128, 0.2500, 0.0162], [0.9743, 0.2500, 0.6901]], "total_magnetization_mub_per_cell": 0.000, "formation_energy_uncorrected_ev_per_atom": -0.684}

---

(8)
{"formula": "LiPr4Y", "functional": "PBE", "state": "relaxed", "lattice": [[3.7035, 0.0000, 0.0000], [0.0000, 3.7035, 0.0000], [0.0000, 0.0000, 14.4879]], "species": ["Li", "Pr", "Pr", "Pr", "Pr", "Y"], "frac_coords": [[0.0000, 0.0000, 0.0000], [0.0000, 0.0000, 0.3242], [0.0000, 0.0000, 0.6758], [0.5000, 0.5000, 0.1472], [0.5000, 0.5000, 0.8528], [0.5000, 0.5000, 0.5000]], "total_magnetization_mub_per_cell": 0.000, "formation_energy_ev_per_atom": 0.0418}

---

(9)
{"formula": "NdThCo", "functional": "PBE", "state": "relaxed", "lattice": [[3.5415, 0.0000, 0.0000], [0.0000, 3.5415, 0.0000], [0.0000, 0.0000, 11.7425]], "species": ["Nd", "Nd", "Th", "Th", "Co", "Co"], "frac_coords": [[0.0000, 0.0000, 0.0000], [0.5000, 0.5000, 0.5000], [0.0000, 0.0000, 0.2834], [0.5000, 0.5000, 0.7834], [0.0000, 0.0000, 0.6790], [0.5000, 0.5000, 0.1790]], "total_magnetization_mub_per_cell": 0.000, "formation_energy_ev_per_atom": -0.0368}

---

(10)
{"formula": "AlOsAu2", "functional": "PBE", "state": "relaxed", "lattice": [[2.8270, 0.0000, 0.0000], [0.0000, 4.9443, 0.0000], [0.0000, 0.0000, 9.4444]], "species": ["Al", "Al", "Os", "Os", "Au", "Au", "Au", "Au"], "frac_coords": [[0.0000, 0.0000, 0.0000], [0.5000, 0.5000, 0.0000], [0.0000, 0.0000, 0.5000], [0.5000, 0.5000, 0.5000], [0.0000, 0.5000, 0.2384], [0.0000, 0.5000, 0.7616], [0.5000, 0.0000, 0.2384], [0.5000, 0.0000, 0.7616]], "total_magnetization_mub_per_cell": 1.149, "formation_energy_ev_per_atom": 0.3490}

---

(11)
{"formula": "LiPaZnCo", "functional": "PBE", "state": "relaxed", "lattice": [[6.3325, 0.0000, 0.0000], [0.0000, 6.3325, 0.0000], [0.0000, 0.0000, 6.3325]], "species": ["Li", "Li", "Li", "Li", "Pa", "Pa", "Pa", "Pa", "Zn", "Zn", "Zn", "Zn", "Co", "Co", "Co", "Co"], "frac_coords": [[0.0000, 0.0000, 0.0000], [0.0000, 0.5000, 0.5000], [0.5000, 0.0000, 0.5000], [0.5000, 0.5000, 0.0000], [0.2500, 0.2500, 0.2500], [0.2500, 0.7500, 0.7500], [0.7500, 0.2500, 0.7500], [0.7500, 0.7500, 0.2500], [0.2500, 0.2500, 0.7500], [0.2500, 0.7500, 0.2500], [0.7500, 0.2500, 0.2500], [0.7500, 0.7500, 0.7500], [0.0000, 0.0000, 0.5000], [0.0000, 0.5000, 0.0000], [0.5000, 0.0000, 0.0000], [0.5000, 0.5000, 0.5000]], "total_magnetization_mub_per_cell": 0.000, "formation_energy_ev_per_atom": -0.0077}

---

(12)
{"formula": "Th4SiSe4", "functional": "PBE", "state": "relaxed", "lattice": [[6.9574, -2.1174, 0.0000], [6.9574, 2.1174, 0.0000], [-5.2674, 0.0000, 9.0071]], "species": ["Th", "Th", "Th", "Th", "Si", "Se", "Se", "Se", "Se"], "frac_coords": [[0.0937, 0.0937, 0.4050], [0.3024, 0.3024, 0.2108], [0.6976, 0.6976, 0.7892], [0.9063, 0.9063, 0.5950], [0.5000, 0.5000, 0.5000], [0.1072, 0.1072, 0.9004], [0.3103, 0.3103, 0.7088], [0.6897, 0.6897, 0.2912], [0.8928, 0.8928, 0.0996]], "total_magnetization_mub_per_cell": 0.000, "formation_energy_uncorrected_ev_per_atom": -1.478}

---

One value per record, in order, for DOS(E_F): 5.524, 5.422, 22.460, 1.694, 4.888, 4.093, 22.928, 8.688, 7.481, 5.723, 20.356, 4.491 states/eV/cell.